# LuHf2V, relaxed, DFT PBE
# * DOS at the Fermi energy: 1.624 states/eV/atom
# * crystal system: tetragonal
# * ΔE_f: 16.9 kJ/mol of atoms
data_LuHf2V
_chemical_formula_sum 'Lu1 Hf2 V1'
_cell_length_a 3.3742
_cell_length_b 3.3742
_cell_length_c 7.6102
_cell_angle_alpha 90.00
_cell_angle_beta 90.00
_cell_angle_gamma 90.00
_symmetry_space_group_name_H-M 'P 4/m m m'
_symmetry_Int_Tables_number 123
_symmetry_space_group_name_Hall '-P 4 2'
loop_
_atom_site_label
_atom_site_type_symbol
_atom_site_fract_x
_atom_site_fract_y
_atom_site_fract_z
Lu1 Lu 0.0000 0.0000 0.0000
Hf1 Hf 0.5000 0.5000 0.3014
V1 V 0.0000 0.0000 0.5000